# 1
A relaxed structure of Pr4IrPb2. Source: the Alexandria database, functional PBE.

a = 6.916 Å, b = 6.851 Å, c = 10.577 Å
α = 90.00°, β = 116.60°, γ = 90.00°
Fractional coordinates of all 14 atoms:
Pr 0.447 0.496 0.256
Pr 0.115 0.750 0.887
Pr 0.885 0.250 0.113
Pr 0.447 0.004 0.256
Pr 0.924 0.250 0.606
Pr 0.553 0.996 0.744
Pr 0.553 0.504 0.744
Pr 0.076 0.750 0.394
Ir 0.085 0.750 0.137
Ir 0.915 0.250 0.863
Pb 0.644 0.750 0.051
Pb 0.356 0.250 0.949
Pb 0.251 0.250 0.449
Pb 0.749 0.750 0.551

Energy above the most stable polymorph in this dataset = 0.562 eV/f.u.
V = 32.0 Å³/atom
Magnetic moment = 0.000 μB per formula unit
Crystal system = monoclinic
ΔE_f = -0.4715 eV per atom
SG = P2_1/m (11)

---

# 2
A relaxed structure of Pr8Ir2Pb. Source: the Alexandria database, functional PBE.

a = 5.723 Å, b = 8.284 Å, c = 8.284 Å
α = 114.46°, β = 97.12°, γ = 97.12°
Fractional coordinates of all 11 atoms:
Pr 0.565 0.331 0.078
Pr 0.565 0.078 0.331
Pr 0.200 0.398 0.398
Pr 0.000 0.254 0.753
Pr 0.000 0.753 0.254
Pr 0.800 0.608 0.608
Pr 0.435 0.929 0.675
Pr 0.435 0.675 0.929
Ir 0.500 0.701 0.305
Ir 0.500 0.305 0.701
Pb 0.000 0.003 0.003

V = 31.6 Å³/atom
Magnetic moment = 0.001 μB per formula unit
Crystal system = monoclinic
ΔE_f = -0.3320 eV per atom
SG = C2/m (12)